Compound: CaAg2Hg
Source: Alexandria via LeMat-Bulk
Functional: PBE-GGA
Structure: optimized geometry

Summary:
**M_tot**: 0.0 μB/f.u.
**Crystal system**: tetragonal
**E**: -16.43 eV for the cell shown
**Calculated volume**: 25.063 A^3/atom
**DFT formation energy**: -0.053 eV per atom

Lattice parameters (Å, degrees): 8.1800 8.1800 6.5143 51.11 51.11 90.00
Fractional coordinates of all 8 atoms:
Hg: 0.0000 0.0000 0.0000
Hg: 0.7500 0.2500 0.5000
Ca: 0.2500 0.7500 0.5000
Ca: 0.5000 0.5000 0.0000
Ag: 0.6489 0.1250 0.2500
Ag: 0.3750 0.3511 0.7500
Ag: 0.1011 0.6250 0.2500
Ag: 0.8750 0.8989 0.7500

Compound: CaAg9Hg2
Source: Alexandria via LeMat-Bulk
Functional: PBE-GGA
Structure: optimized geometry

Summary:
**M_tot**: 0.0 μB/f.u.
**Crystal system**: trigonal
**E**: -28.64 eV for the cell shown
**Calculated volume**: 20.981 A^3/atom
**DFT formation energy**: -0.031 eV per atom

Lattice parameters (Å, degrees): 5.6551 5.6551 9.6594 72.98 72.98 60.00
Fractional coordinates of all 12 atoms:
Ag: 0.9187 0.4131 0.2550
Ag: 0.6664 0.6664 0.0007
Ag: 0.4131 0.9187 0.2550
Ag: 0.3336 0.3336 0.9993
Ag: 0.5869 0.5869 0.7450
Ag: 0.5869 0.0813 0.7450
Ag: 0.4131 0.4131 0.2550
Ag: 0.0813 0.5869 0.7450
Ag: 0.5000 0.5000 0.5000
Hg: 0.1416 0.1416 0.5751
Hg: 0.8584 0.8584 0.4249
Ca: 0.0000 0.0000 0.0000

Compound: CaAg3Hg
Source: Alexandria via LeMat-Bulk
Functional: PBE-GGA
Structure: optimized geometry

Summary:
**M_tot**: 0.0 μB/f.u.
**Crystal system**: tetragonal
**E**: -11.66 eV for the cell shown
**Calculated volume**: 23.080 A^3/atom
**DFT formation energy**: -0.161 eV per atom

Lattice parameters (Å, degrees): 4.1537 4.1626 7.2952 73.38 73.43 89.94
Fractional coordinates of all 5 atoms:
Ag: 0.7994 0.6028 0.1079
Ag: 0.6564 0.9601 0.3921
Ag: 0.1562 0.4595 0.3930
Hg: 0.0052 0.8087 0.6939
Ca: 0.3906 0.1941 0.9242

Compound: Ca8AgHg2
Source: Alexandria via LeMat-Bulk
Functional: PBE-GGA
Structure: optimized geometry

Summary:
**M_tot**: 0.0 μB/f.u.
**Crystal system**: monoclinic
**E**: -22.41 eV for the cell shown
**Calculated volume**: 32.843 A^3/atom
**DFT formation energy**: -0.267 eV per atom

Lattice parameters (Å, degrees): 5.3547 7.4537 9.8496 106.60 105.77 90.00
Fractional coordinates of all 11 atoms:
Hg: 0.1838 0.7115 0.3676
Hg: 0.8162 0.2885 0.6324
Ca: 0.5952 0.4510 0.1904
Ca: 0.3351 0.0343 0.6702
Ca: 0.2045 0.3116 0.4091
Ca: 0.0294 0.7883 0.0587
Ca: 0.7955 0.6884 0.5909
Ca: 0.4048 0.5490 0.8096
Ca: 0.6649 0.9657 0.3298
Ca: 0.9706 0.2117 0.9413
Ag: 0.5000 0.0000 0.0000

Compound: Ca3Ag4Hg4
Source: Alexandria via LeMat-Bulk
Functional: PBE-GGA
Structure: optimized geometry

Summary:
**M_tot**: 0.0 μB/f.u.
**Crystal system**: orthorhombic
**E**: -21.77 eV for the cell shown
**Calculated volume**: 24.921 A^3/atom
**DFT formation energy**: -0.286 eV per atom

Lattice parameters (Å, degrees): 4.2879 8.0961 9.1290 116.32 103.58 90.00
Fractional coordinates of all 11 atoms:
Hg: 0.3358 0.5375 0.6717
Hg: 0.6642 0.8658 0.3283
Hg: 0.6642 0.4625 0.3283
Hg: 0.3358 0.1342 0.6717
Ag: 0.7755 0.2755 0.5511
Ag: 0.5000 0.1742 0.0000
Ag: 0.5000 0.8258 0.0000
Ag: 0.2245 0.7245 0.4489
Ca: 0.8716 0.8716 0.7432
Ca: 0.1284 0.1284 0.2568
Ca: 0.0000 0.5000 0.0000

Compound: Ca4AgHg3
Source: Alexandria via LeMat-Bulk
Functional: PBE-GGA
Structure: optimized geometry

Summary:
**M_tot**: 0.0 μB/f.u.
**Crystal system**: tetragonal
**E**: -15.67 eV for the cell shown
**Calculated volume**: 26.807 A^3/atom
**DFT formation energy**: -0.488 eV per atom

Lattice parameters (Å, degrees): 5.3211 5.3211 8.4564 108.33 108.33 90.01
Fractional coordinates of all 8 atoms:
Ca: 0.6234 0.6234 0.2469
Ca: 0.3766 0.3766 0.7531
Ca: 0.1234 0.1234 0.2469
Ca: 0.8766 0.8766 0.7531
Ag: 0.5000 0.0000 0.0000
Hg: 0.0000 0.5000 0.0000
Hg: 0.2510 0.7508 0.5021
Hg: 0.7490 0.2492 0.4979

Question: What is the M_tot in the fourth record?
Answer: 0.0 μB/f.u.

Question: What is the E in the first record?
Answer: -16.43 eV for the cell shown